Entry 1:
# RbMgInO3, relaxed, DFT GGA-PBE
data_RbMgInO3
_cell_length_a 5.763
_cell_length_b 5.754
_cell_length_c 6.241
_cell_angle_alpha 117.45
_cell_angle_beta 90.00
_cell_angle_gamma 90.00
_space_group_name_H-M_alt 'P 1'
_space_group_IT_number 1
_space_group_name_Hall 'P 1'
loop_
_atom_site_label
_atom_site_type_symbol
_atom_site_fract_x
_atom_site_fract_y
_atom_site_fract_z
Rb1 Rb 0.750 0.247 0.495
Rb2 Rb 0.250 0.753 0.505
Mg1 Mg 0.250 0.066 0.132
Mg2 Mg 0.750 0.934 0.868
In1 In 0.250 0.429 0.859
In2 In 0.750 0.571 0.141
O1 O 0.250 0.244 0.488
O2 O 0.000 0.244 0.000
O3 O 0.500 0.756 0.000
O4 O 0.500 0.244 0.000
O5 O 0.000 0.756 0.000
O6 O 0.750 0.756 0.512
# ΔE_f (raw)	-1.846	eV per atom
# D(E_F)	0.00	states/eV/atom
# energy	-5.208	eV/atom

---

Entry 2:
# Cd2PN, relaxed, DFT GGA-PBE
data_Cd2PN
_cell_length_a 5.707
_cell_length_b 5.707
_cell_length_c 6.512
_cell_angle_alpha 64.01
_cell_angle_beta 64.01
_cell_angle_gamma 90.00
_space_group_name_H-M_alt 'P 1'
_space_group_IT_number 1
_space_group_name_Hall 'P 1'
loop_
_atom_site_label
_atom_site_type_symbol
_atom_site_fract_x
_atom_site_fract_y
_atom_site_fract_z
P1 P 0.000 0.000 0.000
P2 P 0.750 0.250 0.500
N1 N 0.500 0.500 0.000
N2 N 0.250 0.750 0.500
Cd1 Cd 0.564 0.125 0.250
Cd2 Cd 0.186 0.625 0.250
Cd3 Cd 0.375 0.436 0.750
Cd4 Cd 0.875 0.814 0.750
# ΔE_f (raw)	0.692	eV per atom
# D(E_F)	0.37	states/eV/atom
# distance to the lowest polymorph of the same formula	0	meV per atom
# energy	-3.199	eV/atom